Record 1
## Li2CaPa3N6 (PBE-GGA)

Data for a relaxed structure of Li2CaPa3N6.

```
Li2CaPa3N6
1.0
7.195 -1.790 0.000
7.195 1.790 0.000
-1.179 0.000 6.941
Li Ca Pa N
2 1 3 6
direct
0.172 0.172 0.379 Li
0.828 0.828 0.621 Li
0.500 0.500 0.000 Ca
0.175 0.175 0.817 Pa
0.500 0.500 0.500 Pa
0.825 0.825 0.183 Pa
0.012 0.012 0.724 N
0.326 0.326 0.976 N
0.337 0.337 0.405 N
0.663 0.663 0.595 N
0.674 0.674 0.024 N
0.988 0.988 0.276 N
```

## Properties
total magnetization	0.01	μB/f.u.
crystal system	monoclinic
mass density	7.72	g/cm³
formation energy (no corrections)	-1.335	eV/atom
total energy	-8.36	eV per atom

Record 2
## HgOs3 (PBE-GGA)

Data for a relaxed structure of HgOs3.

```
HgOs3
1.0
4.472 2.582 0.923
-4.472 2.582 0.923
0.000 -5.164 0.923
Hg Os
1 3
direct
0.000 0.000 0.000 Hg
0.000 0.500 0.500 Os
0.500 0.000 0.500 Os
0.500 0.500 0.000 Os
```

## Properties
energy of formation	1.19	eV/atom
total magnetization	0.00	μB/f.u.
crystal system	trigonal
excess energy over the best structure of this formula in the dataset	792	meV per atom
mass density	20.04	g/cm³
total energy	-7.31	eV per atom

Record 3
## NiIr (PBE-GGA)

Data for a relaxed structure of NiIr.

```
NiIr
1.0
0.000 2.974 2.974
2.974 0.000 2.974
2.974 2.974 0.000
Ni Ir
2 2
direct
0.125 0.125 0.125 Ni
0.875 0.875 0.875 Ni
0.375 0.375 0.375 Ir
0.625 0.625 0.625 Ir
```

## Properties
energy of formation	0.26	eV/atom
total magnetization	0.00	μB/f.u.
crystal system	cubic
mass density	15.84	g/cm³
total energy	-7.06	eV per atom

Record 4
## ZrCr4Hg (PBE-GGA)

Data for a relaxed structure of ZrCr4Hg.

```
ZrCr4Hg
1.0
0.000 3.538 3.538
3.538 0.000 3.538
3.538 3.538 0.000
Zr Cr Hg
1 4 1
direct
0.000 0.000 0.000 Zr
0.126 0.625 0.625 Cr
0.625 0.126 0.625 Cr
0.625 0.625 0.126 Cr
0.625 0.625 0.625 Cr
0.250 0.250 0.250 Hg
```

## Properties
energy of formation	0.24	eV/atom
total magnetization	0.00	μB/f.u.
crystal system	cubic
mass density	9.37	g/cm³
total energy	-7.65	eV per atom

Record 5
## Ni2Sn5Rh2 (PBE-GGA)

Data for a relaxed structure of Ni2Sn5Rh2.

```
Ni2Sn5Rh2
1.0
-7.618 3.491 3.305
7.618 -3.491 3.305
7.618 3.491 -3.305
Ni Sn Rh
4 10 4
direct
0.000 0.000 0.000 Ni
0.000 0.500 0.500 Ni
0.672 0.431 0.741 Ni
0.690 0.931 0.259 Ni
0.157 0.148 0.318 Sn
0.157 0.339 0.509 Sn
0.173 0.583 0.090 Sn
0.493 0.083 0.910 Sn
0.506 0.120 0.265 Sn
0.506 0.741 0.886 Sn
0.830 0.648 0.491 Sn
0.830 0.839 0.682 Sn
0.855 0.241 0.735 Sn
0.855 0.620 0.114 Sn
0.330 0.251 0.894 Rh
0.330 0.936 0.579 Rh
0.357 0.436 0.106 Rh
0.357 0.751 0.421 Rh
```

## Properties
energy of formation	-0.22	eV/atom
total magnetization	0.00	μB/f.u.
crystal system	orthorhombic
mass density	8.66	g/cm³
total energy	-5.37	eV per atom

Record 6
## NaSiAg2Se4 (PBE-GGA)

Data for a relaxed structure of NaSiAg2Se4.

```
NaSiAg2Se4
1.0
-3.481 3.527 4.022
3.481 -3.527 4.022
3.481 3.527 -4.022
Na Si Ag Se
1 1 2 4
direct
0.000 0.000 0.000 Na
0.500 0.500 0.000 Si
0.194 0.694 0.500 Ag
0.806 0.306 0.500 Ag
0.154 0.544 0.007 Se
0.463 0.456 0.610 Se
0.537 0.147 0.993 Se
0.846 0.853 0.390 Se
```

## Properties
total magnetization	0.00	μB/f.u.
crystal system	orthorhombic
mass density	4.90	g/cm³
formation energy (no corrections)	-0.427	eV/atom
total energy	-3.72	eV per atom